Crystalline Th2FeCo4P3 at its relaxed geometry. Source: Alexandria, functional PBE-GGA.

D(E_F) (states/eV/cell): 7.4
SG: P-4m2
Magnetization (μB/atom): 0.38
Formation energy (eV/atom): -0.878

Geometry as extended XYZ:
```
10
Lattice="-2.0897 1.2774 3.1064 -3.0221 -2.3115 -1.0824 3.5076 -7.0478 5.2577" Properties=species:S:1:pos:R:3 pbc="T T T"
Th -0.1712 -1.1166 2.8627
Th 1.1229 -6.4482 3.4070
Fe -0.8021 -4.0410 3.6408
Co -2.5559 -0.5171 1.0120
Co 0.0000 0.0000 0.0000
Co 1.1482 -3.7679 4.8405
Co -0.1965 -3.7970 1.4292
P 1.7538 -3.5239 2.6289
P 2.0111 -5.5017 6.1340
P -1.0594 -2.0632 0.1357
```

***

Crystalline CdSbRu at its relaxed geometry. Source: Alexandria, functional PBE-GGA.

D(E_F) (states/eV/cell): 6.0
SG: P-62m
Formation energy without anion corrections (eV/atom): 0.243
Distance to the lowest polymorph of the same formula (meV per atom): 184
Magnetization (μB/atom): 0.00

Geometry as extended XYZ:
```
9
Lattice="3.5155 0.0000 0.0000 0.0000 7.5941 0.0000 0.0000 -3.7970 6.5767" Properties=species:S:1:pos:R:3 pbc="T T T"
Ru 1.7577 3.7970 2.1922
Ru 1.7577 0.0000 4.3844
Ru 0.0000 0.0000 0.0000
Cd 1.7577 2.0978 0.0000
Cd 1.7577 -1.0489 1.8168
Cd 1.7577 2.7481 4.7599
Sb 0.0000 4.7414 0.0000
Sb 0.0000 -2.3707 4.1062
Sb 0.0000 1.4263 2.4705
```

***

Crystalline SmCdAg5 at its relaxed geometry. Source: Alexandria, functional PBE-GGA.

D(E_F) (states/eV/cell): 13.9
SG: Pnma
Magnetization (μB/atom): 0.00
Formation energy (eV/atom): -0.142

Geometry as extended XYZ:
```
28
Lattice="-5.5800 -0.7931 -0.5908 0.4373 -7.1533 5.4716 -1.9120 6.7572 8.9869" Properties=species:S:1:pos:R:3 pbc="T T T"
Sm -3.0805 4.3895 9.6119
Sm -4.9093 0.5300 4.8875
Sm -2.1454 -1.7192 8.9802
Sm -3.9742 -5.5787 4.2558
Cd -2.6510 -0.5690 12.2118
Cd -4.5792 -2.8036 6.2446
Cd -2.4755 1.6144 7.6231
Cd -4.4037 -0.6202 1.6558
Ag -1.1686 -4.3721 3.3163
Ag -4.7848 -3.5132 9.1384
Ag -2.2699 2.3240 4.7293
Ag -5.8861 3.1829 10.5513
Ag -5.4617 2.1559 7.9221
Ag -1.7718 0.0909 3.0226
Ag -5.2829 -1.2800 10.8450
Ag -1.5930 -3.3451 5.9456
Ag -1.1540 -6.2945 5.7594
Ag -5.0621 -0.6622 7.9302
Ag -1.9926 -0.5269 5.9374
Ag -5.9007 5.1054 8.1083
Ag -5.7099 -2.6178 3.5274
Ag -1.3403 4.2166 6.5555
Ag -3.0153 -5.0221 7.5979
Ag -4.0439 1.0450 10.0545
Ag -1.3448 1.4286 10.3403
Ag -5.7144 -5.4057 7.3121
Ag -4.0394 3.8329 6.2697
Ag -3.0108 -2.2341 3.8132
```